# 1
An optimized crystal structure of CaAuS2N. Source: Alexandria, functional GGA-PBEsol.

Results
The value obtained for the uncorrected formation energy is 0.146 eV per atom. The value obtained for the density of states at the Fermi level is 0.49 states/eV per atom.

Lattice parameters (Å, degrees): 4.2197 4.2197 4.5045 90.00 90.00 90.00
Positions (direct):
Ca  0.0000  0.0000  0.5000
S  0.0000  0.5000  0.0000
N  0.0000  0.0000  0.0000
S  0.5000  0.0000  0.0000
Au  0.5000  0.5000  0.5000

---

# 2
An optimized crystal structure of NaPt. Source: Alexandria, functional GGA-PBEsol.

Results
The calculation puts the energy relative to the elements at -0.1095 eV per atom. The value obtained for the density of states at the Fermi level is 0.34 states/eV per atom.

Lattice parameters (Å, degrees): 2.7860 5.2030 5.2648 113.92 90.00 105.53
Positions (direct):
Pt  0.6336  0.2672  0.9883
Na  0.1171  0.2342  0.4580
Na  0.8829  0.7658  0.5420
Pt  0.3664  0.7328  0.0117

---

# 3
An optimized crystal structure of Ba2ZnIr. Source: Alexandria, functional GGA-PBEsol.

Results
The calculation puts the energy relative to the elements at 0.1855 eV per atom. The value obtained for the density of states at the Fermi level is 0.64 states/eV per atom.

Lattice parameters (Å, degrees): 4.4900 4.4900 8.2751 74.26 74.26 60.00
Positions (direct):
Ir  0.5000  0.5000  0.5000
Ba  0.7656  0.7656  0.7033
Ba  0.2344  0.2344  0.2967
Zn  0.0000  0.0000  0.0000

---

# 4
An optimized crystal structure of TcPN2. Source: Alexandria, functional GGA-PBEsol.

Results
The value obtained for the uncorrected formation energy is 0.092 eV per atom. The value obtained for the density of states at the Fermi level is 0.45 states/eV per atom.

Lattice parameters (Å, degrees): 4.4435 5.0880 4.4435 64.11 90.00 115.89
Positions (direct):
N  0.8750  0.2500  0.5471
N  0.2029  0.7500  0.8750
N  0.5471  0.7500  0.3750
P  0.5000  0.0000  0.5000
N  0.3750  0.2500  0.2029
Tc  0.0000  0.0000  0.0000
Tc  0.7500  0.5000  0.7500
P  0.2500  0.5000  0.2500

---

# 5
An optimized crystal structure of SrTaRe. Source: Alexandria, functional GGA-PBEsol.

Results
The calculation puts the energy relative to the elements at 0.7451 eV per atom. The value obtained for the density of states at the Fermi level is 0.84 states/eV per atom.

Lattice parameters (Å, degrees): 2.9792 2.9792 7.7241 96.79 96.79 112.75
Positions (direct):
Re  0.0157  0.0157  0.0314
Sr  0.3416  0.3416  0.6832
Ta  0.6427  0.6427  0.2854

---

# 6
An optimized crystal structure of Ag3SbS3. Source: Alexandria, functional GGA-PBEsol.

Results
The value obtained for the uncorrected formation energy is -0.140 eV per atom.

Lattice parameters (Å, degrees): 6.1784 6.6649 15.4034 90.00 90.00 115.88
Positions (direct):
S  0.5520  0.4586  0.3675
Ag  0.4614  0.4223  0.0973
Ag  0.2870  0.0753  0.8072
S  0.9480  0.5414  0.8675
Ag  0.6985  0.4741  0.7394
S  0.4480  0.5414  0.6325
Ag  0.8015  0.5259  0.2394
S  0.2777  0.7908  0.4473
Sb  0.3068  0.1895  0.5408
Sb  0.8068  0.1895  0.9592
Ag  0.2130  0.9247  0.3072
Ag  0.1985  0.4741  0.7606
Ag  0.5386  0.5777  0.9027
Sb  0.6932  0.8105  0.4592
Ag  0.0386  0.5777  0.5973
Ag  0.7130  0.9247  0.1928
S  0.2223  0.2092  0.9473
Ag  0.3015  0.5259  0.2606
S  0.1112  0.9407  0.6651
S  0.7777  0.7908  0.0527
S  0.0520  0.4586  0.1325
S  0.8888  0.0593  0.3349
Ag  0.9614  0.4223  0.4027
S  0.6112  0.9407  0.8349
S  0.3888  0.0593  0.1651
Sb  0.1932  0.8105  0.0408
S  0.7223  0.2092  0.5527
Ag  0.7870  0.0753  0.6928

---

# 7
An optimized crystal structure of LiGaSb2S. Source: Alexandria, functional GGA-PBEsol.

Results
The value obtained for the uncorrected formation energy is -0.003 eV per atom. The value obtained for the density of states at the Fermi level is 0.45 states/eV per atom.

Lattice parameters (Å, degrees): 4.3767 5.2393 5.2393 90.00 90.00 90.00
Positions (direct):
Li  0.5000  0.0000  0.0000
Sb  0.0000  0.5000  0.0000
S  0.0000  0.0000  0.0000
Ga  0.5000  0.5000  0.5000
Sb  0.0000  0.0000  0.5000

---

# 8
An optimized crystal structure of AsRhIO2. Source: Alexandria, functional GGA-PBEsol.

Results
The value obtained for the uncorrected formation energy is 0.048 eV per atom. The value obtained for the density of states at the Fermi level is 0.73 states/eV per atom.

Lattice parameters (Å, degrees): 3.7122 3.7122 6.0650 90.00 90.00 90.00
Each line ends with the local moment (μB).
Positions (direct):
As  0.0000  0.0000  0.0000  0.00
I  0.0000  0.0000  0.5000  0.01
O  0.5000  0.0000  0.0000  0.02
O  0.0000  0.5000  0.0000  0.02
Rh  0.5000  0.5000  0.5000  0.53

---

# 9
An optimized crystal structure of CeFeSi. Source: Alexandria, functional GGA-PBEsol.

Results
The value obtained for the uncorrected formation energy is -0.626 eV per atom. The value obtained for the density of states at the Fermi level is 0.99 states/eV per atom.

Lattice parameters (Å, degrees): 3.9863 3.9863 6.5615 90.00 90.00 90.00
Each line ends with the local moment (μB).
Positions (direct):
Ce  0.5000  0.0000  0.6861  0.28
Si  0.5000  0.0000  0.1790  0.00
Ce  0.0000  0.5000  0.3139  0.28
Fe  0.5000  0.5000  0.0000  -0.07
Fe  0.0000  0.0000  0.0000  -0.07
Si  0.0000  0.5000  0.8210  0.00

---

# 10
An optimized crystal structure of Ti2NbP2. Source: Alexandria, functional GGA-PBEsol.

Results
The calculation puts the energy relative to the elements at -1.1059 eV per atom. The value obtained for the density of states at the Fermi level is 0.65 states/eV per atom.

Lattice parameters (Å, degrees): 3.3557 6.5423 6.5423 90.00 90.00 90.00
Positions (direct):
P  0.0000  0.1377  0.3623
P  0.0000  0.8623  0.6377
Ti  0.5000  0.6587  0.8413
Ti  0.5000  0.1587  0.6587
P  0.0000  0.3623  0.8623
Nb  0.0000  0.5000  0.5000
P  0.0000  0.6377  0.1377
Ti  0.5000  0.8413  0.3413
Nb  0.0000  0.0000  0.0000
Ti  0.5000  0.3413  0.1587

---

# 11
An optimized crystal structure of HfI4. Source: Alexandria, functional GGA-PBEsol.

Results
The value obtained for the uncorrected formation energy is -0.767 eV per atom. The value obtained for the density of states at the Fermi level is 0.00 states/eV per atom.

Lattice parameters (Å, degrees): 12.3312 12.3312 12.3312 90.00 90.00 90.00
Positions (direct):
I  0.2483  0.7483  0.7517
Hf  0.8722  0.6278  0.3722
I  0.4986  0.7483  0.5061
I  0.7483  0.7517  0.2483
I  0.9986  0.7517  0.4939
I  0.9986  0.7483  0.9939
Hf  0.1278  0.3722  0.6278
I  0.7517  0.2483  0.7483
I  0.9939  0.5014  0.2483
I  0.7517  0.0061  0.4986
I  0.5061  0.0014  0.2483
I  0.0061  0.0014  0.2517
I  0.2483  0.7517  0.2517
Hf  0.1278  0.1278  0.1278
Hf  0.3722  0.6278  0.1278
I  0.4939  0.9986  0.7517
I  0.2517  0.2517  0.2517
I  0.2517  0.2483  0.7517
I  0.7483  0.9939  0.9986
I  0.2483  0.9939  0.5014
Hf  0.3722  0.8722  0.6278
I  0.5061  0.4986  0.7483
I  0.7483  0.5061  0.4986
I  0.2517  0.4939  0.5014
I  0.4986  0.7517  0.0061
I  0.0014  0.2483  0.5061
I  0.4939  0.5014  0.2517
I  0.2517  0.0061  0.0014
I  0.0061  0.4986  0.7517
I  0.0014  0.2517  0.0061
I  0.5014  0.2483  0.9939
Hf  0.6278  0.1278  0.3722
I  0.5014  0.2517  0.4939
I  0.7483  0.7483  0.7483
I  0.9939  0.9986  0.7483
I  0.7517  0.4939  0.9986
I  0.7517  0.2517  0.2483
Hf  0.8722  0.8722  0.8722
I  0.2483  0.5061  0.0014
Hf  0.6278  0.3722  0.8722

---

# 12
An optimized crystal structure of Ba2SrHg2. Source: Alexandria, functional GGA-PBEsol.

Results
The calculation puts the energy relative to the elements at -0.4358 eV per atom. The value obtained for the density of states at the Fermi level is 1.09 states/eV per atom.

Lattice parameters (Å, degrees): 4.4281 9.2973 9.2973 90.00 90.00 90.00
Positions (direct):
Ba  0.5000  0.1517  0.6517
Hg  0.0000  0.1422  0.3578
Sr  0.0000  0.0000  0.0000
Sr  0.0000  0.5000  0.5000
Ba  0.5000  0.6517  0.8483
Ba  0.5000  0.3483  0.1517
Hg  0.0000  0.8578  0.6422
Ba  0.5000  0.8483  0.3483
Hg  0.0000  0.3578  0.8578
Hg  0.0000  0.6422  0.1422

---

no.,magnetization (μB per formula unit)
1,0.00
2,0.00
3,0.00
4,0.00
5,0.00
6,0.00
7,0.00
8,0.67
9,0.27
10,0.00
11,0.00
12,0.00